Material: Hf2ZrZnIn
Method: DFT, PBE
State: optimized geometry

Cell: 5.3450 5.3450 5.3758 Å, 90.00 90.00 90.00°
Space group P4/mmm (No. 123)
Symmetry-distinct sites (fractional):
Hf (0.0000, 0.5000, 0.0000)
Zr (0.0000, 0.0000, 0.0000)
Zn (0.0000, 0.0000, 0.5000)
In (0.5000, 0.5000, 0.5000)

Calculated values
Formation energy from the elements: 1099 meV/atom



Material: HfZr5In6
Method: DFT, PBE
State: optimized geometry

Cell: 4.4578 8.8822 13.3828 Å, 90.00 90.00 90.00°
Space group Immm (No. 71)
Symmetry-distinct sites (fractional):
Hf (0.0000, 0.0000, 0.0000)
Zr (0.0000, 0.0000, 0.3330)
Zr (0.0000, 0.5000, 0.0000)
Zr (0.0000, 0.5000, 0.3350)
In (0.0000, 0.2501, 0.1664)
In (0.0000, 0.2499, 0.5000)

Calculated values
Formation energy from the elements: -291 meV/atom



Material: Hf5ZrIn2
Method: DFT, PBE
State: optimized geometry

Cell: 6.2677 12.5350 4.4345 Å, 90.00 90.00 90.00°
Space group Pbam (No. 55)
Symmetry-distinct sites (fractional):
Hf (0.0000, 0.0000, 0.0000)
Hf (0.0007, 0.2491, 0.0000)
Hf (0.2484, 0.8742, 0.5000)
Zr (0.0000, 0.5000, 0.0000)
In (0.2499, 0.1251, 0.5000)

Calculated values
Formation energy from the elements: -162 meV/atom



Material: HfZr7In3
Method: DFT, PBE
State: optimized geometry

Cell: 11.1090 10.3796 5.1432 Å, 90.00 117.40 90.00°
Space group C2/m (No. 12)
Symmetry-distinct sites (fractional):
Hf (0.0000, 0.0000, 0.0000)
Zr (0.0000, 0.0000, 0.5000)
Zr (0.1940, 0.5000, 0.6941)
Zr (0.2043, 0.2936, 0.2043)
In (0.0000, 0.2794, 0.5000)
In (0.0000, 0.5000, 0.0000)

Calculated values
Formation energy from the elements: 134 meV/atom



Material: Hf3Zr5In
Method: DFT, PBE
State: optimized geometry

Cell: 11.7403 7.1351 10.7391 Å, 90.00 93.28 90.00°
Space group C2/m (No. 12)
Symmetry-distinct sites (fractional):
Hf (0.0000, 0.0000, 0.0000)
Hf (0.0000, 0.0000, 0.5000)
Hf (0.1504, 0.5000, 0.2120)
Hf (0.2406, 0.5000, 0.4815)
Zr (0.0000, 0.3314, 0.0000)
Zr (0.0147, 0.5000, 0.6199)
Zr (0.1379, 0.2117, 0.7599)
Zr (0.2396, 0.0000, 0.0192)
In (0.1164, 0.0000, 0.2634)

Calculated values
Formation energy from the elements: 589 meV/atom



Material: HfZrIn3
Method: DFT, PBE
State: optimized geometry

Cell: 4.3681 6.9783 7.7915 Å, 90.00 90.00 90.00°
Space group Pmmn (No. 59, origin choice 2)
Symmetry-distinct sites (fractional):
Hf (0.2500, 0.2500, 0.0363)
Zr (0.2500, 0.7500, 0.2690)
In (0.2500, 0.2500, 0.4448)
In (0.2500, 0.5419, 0.7701)

Calculated values
Formation energy from the elements: 30 meV/atom
Energy relative to the lowest polymorph listed for this composition: 0.000 eV/atom



Material: Hf2Zr3In3
Method: DFT, PBE
State: optimized geometry

Cell: 4.2958 4.4142 18.7907 Å, 90.00 90.00 90.00°
Space group Immm (No. 71)
Symmetry-distinct sites (fractional):
Hf (0.0000, 0.0000, 0.2483)
Zr (0.0000, 0.0000, 0.0000)
Zr (0.0000, 0.5000, 0.1243)
In (0.0000, 0.0000, 0.5000)
In (0.0000, 0.5000, 0.3723)

Calculated values
Formation energy from the elements: -242 meV/atom
Energy relative to the lowest polymorph listed for this composition: 0.000 eV/atom



Material: Hf2Zr4In5
Method: DFT, PBE
State: optimized geometry

Cell: 7.9705 3.1754 10.0709 Å, 90.00 95.50 90.00°
Space group P2/m (No. 10)
Symmetry-distinct sites (fractional):
Hf (0.0627, 0.0000, 0.1303)
Zr (0.1643, 0.5000, 0.3829)
Zr (0.2989, 0.5000, 0.9493)
In (0.1875, 0.0000, 0.6616)
In (0.4350, 0.0000, 0.2053)
In (0.5000, 0.0000, 0.5000)

Calculated values
Formation energy from the elements: -130 meV/atom



Material: Hf6ZrIn2
Method: DFT, PBE
State: optimized geometry

Cell: 14.8272 3.0647 10.6812 Å, 90.00 122.20 90.00°
Space group C2/m (No. 12)
Symmetry-distinct sites (fractional):
Hf (0.0532, 0.0000, 0.2519)
Hf (0.1173, 0.5000, 0.0635)
Hf (0.2280, 0.0000, 0.6038)
Zr (0.0000, 0.0000, 0.5000)
In (0.1552, 0.5000, 0.7994)

Calculated values
Formation energy from the elements: 27 meV/atom
Energy relative to the lowest polymorph listed for this composition: 0.002 eV/atom



Material: HfZr2In
Method: DFT, PBE
State: optimized geometry

Cell: 3.1638 3.1638 9.1188 Å, 90.00 90.00 90.00°
Space group P4/mmm (No. 123)
Symmetry-distinct sites (fractional):
Hf (0.0000, 0.0000, 0.0000)
Zr (0.5000, 0.5000, 0.2470)
In (0.0000, 0.0000, 0.5000)

Calculated values
Formation energy from the elements: -158 meV/atom



Material: Hf3Zr2In
Method: DFT, PBE
State: optimized geometry

Cell: 14.0766 5.2864 8.3340 Å, 90.00 119.10 90.00°
Space group C2/m (No. 12)
Symmetry-distinct sites (fractional):
Hf (0.0470, 0.0000, 0.2062)
Hf (0.1210, 0.5000, 0.1267)
Hf (0.2018, 0.5000, 0.5413)
Zr (0.0439, 0.5000, 0.7086)
Zr (0.2034, 0.0000, 0.0431)
In (0.1275, 0.0000, 0.6246)

Calculated values
Formation energy from the elements: 19 meV/atom
Energy relative to the lowest polymorph listed for this composition: 0.111 eV/atom



Material: Hf5ZrIn5
Method: DFT, PBE
State: optimized geometry

Cell: 5.4135 16.0787 5.9707 Å, 90.00 90.00 90.00°
Space group Cmmm (No. 65)
Symmetry-distinct sites (fractional):
Hf (0.0000, 0.0000, 0.0000)
Hf (0.0000, 0.3258, 0.5000)
Hf (0.0000, 0.3983, 0.0000)
Zr (0.0000, 0.0000, 0.5000)
In (0.0000, 0.1687, 0.2406)
In (0.0000, 0.5000, 0.5000)

Calculated values
Formation energy from the elements: 189 meV/atom